{
  "formula": "SrPPdO2",
  "functional": "PBE",
  "state": "optimized geometry",
  "dft_energy_ev_per_atom": -5.00,
  "raw_formation_energy_ev_per_atom": -0.555,
  "space_group": "No. 123",
  "lattice_angstrom": [[4.347, 0.000, 0.000], [0.000, 4.347, 0.000], [0.000, 0.000, 4.412]],
  "species": ["Sr", "P", "Pd", "O", "O"],
  "frac_coords": [[0.000, 0.000, 0.000], [0.500, 0.500, 0.000], [0.500, 0.500, 0.500], [0.000, 0.500, 0.500], [0.500, 0.000, 0.500]]
}

{
  "formula": "Pr4CuRu",
  "functional": "PBE",
  "state": "optimized geometry",
  "formation_enthalpy_0k_ev_per_atom": -0.10,
  "dft_energy_ev_per_atom": -5.51,
  "space_group": "No. 216",
  "lattice_angstrom": [[0.000, 6.975, 6.975], [6.975, 0.000, 6.975], [6.975, 6.975, 0.000]],
  "species": ["Pr", "Pr", "Pr", "Pr", "Pr", "Pr", "Pr", "Pr", "Pr", "Pr", "Pr", "Pr", "Pr", "Pr", "Pr", "Pr", "Cu", "Cu", "Cu", "Cu", "Ru", "Ru", "Ru", "Ru"],
  "frac_coords": [[0.189, 0.189, 0.811], [0.189, 0.811, 0.189], [0.189, 0.811, 0.811], [0.399, 0.399, 0.399], [0.399, 0.399, 0.802], [0.399, 0.802, 0.399], [0.558, 0.558, 0.942], [0.558, 0.942, 0.558], [0.558, 0.942, 0.942], [0.802, 0.399, 0.399], [0.811, 0.189, 0.189], [0.811, 0.189, 0.811], [0.811, 0.811, 0.189], [0.942, 0.558, 0.558], [0.942, 0.558, 0.942], [0.942, 0.942, 0.558], [0.158, 0.158, 0.158], [0.158, 0.158, 0.527], [0.158, 0.527, 0.158], [0.527, 0.158, 0.158], [0.166, 0.611, 0.611], [0.611, 0.166, 0.611], [0.611, 0.611, 0.166], [0.611, 0.611, 0.611]]
}

{
  "formula": "NaAs3Rh",
  "functional": "PBE",
  "state": "optimized geometry",
  "formation_enthalpy_0k_ev_per_atom": 1.35,
  "dft_energy_ev_per_atom": -3.17,
  "space_group": "No. 221",
  "lattice_angstrom": [[4.821, 0.000, 0.000], [0.000, 4.821, 0.000], [0.000, 0.000, 4.821]],
  "species": ["Na", "As", "As", "As", "Rh"],
  "frac_coords": [[0.000, 0.000, 0.000], [0.000, 0.000, 0.500], [0.000, 0.500, 0.000], [0.500, 0.000, 0.000], [0.500, 0.500, 0.500]]
}

{
  "formula": "LaRePb3",
  "functional": "PBE",
  "state": "optimized geometry",
  "formation_enthalpy_0k_ev_per_atom": 0.46,
  "dft_energy_ev_per_atom": -5.24,
  "space_group": "No. 221",
  "lattice_angstrom": [[5.358, 0.000, 0.000], [0.000, 5.358, 0.000], [0.000, 0.000, 5.358]],
  "species": ["La", "Re", "Pb", "Pb", "Pb"],
  "frac_coords": [[0.000, 0.000, 0.000], [0.500, 0.500, 0.500], [0.000, 0.500, 0.500], [0.500, 0.000, 0.500], [0.500, 0.500, 0.000]]
}

{
  "formula": "La4ScTl2",
  "functional": "PBE",
  "state": "optimized geometry",
  "formation_enthalpy_0k_ev_per_atom": -0.13,
  "dft_energy_ev_per_atom": -4.52,
  "space_group": "No. 2",
  "lattice_angstrom": [[6.553, 0.000, 0.000], [2.913, 7.349, 0.000], [3.025, 1.285, 9.509]],
  "species": ["La", "La", "La", "La", "La", "La", "La", "La", "Sc", "Sc", "Tl", "Tl", "Tl", "Tl"],
  "frac_coords": [[0.003, 0.209, 0.266], [0.045, 0.274, 0.635], [0.454, 0.200, 0.871], [0.481, 0.729, 0.776], [0.519, 0.271, 0.224], [0.546, 0.800, 0.129], [0.955, 0.726, 0.365], [0.997, 0.791, 0.734], [0.357, 0.907, 0.448], [0.643, 0.093, 0.552], [0.000, 0.000, 0.000], [0.151, 0.566, 0.058], [0.500, 0.500, 0.500], [0.849, 0.434, 0.942]]
}

{
  "formula": "CoRh",
  "functional": "PBE",
  "state": "optimized geometry",
  "formation_enthalpy_0k_ev_per_atom": 0.07,
  "dft_energy_ev_per_atom": -7.16,
  "space_group": "No. 129",
  "lattice_angstrom": [[2.664, 0.000, 0.000], [0.000, 2.664, 0.000], [0.000, 0.000, 7.148]],
  "species": ["Co", "Co", "Rh", "Rh"],
  "frac_coords": [[0.250, 0.250, 0.111], [0.750, 0.750, 0.889], [0.250, 0.250, 0.637], [0.750, 0.750, 0.363]]
}

{
  "formula": "Tl3Sn5Hg12",
  "functional": "PBE",
  "state": "optimized geometry",
  "formation_enthalpy_0k_ev_per_atom": 0.17,
  "dft_energy_ev_per_atom": -1.37,
  "space_group": "No. 230",
  "lattice_angstrom": [[-8.691, 8.691, 8.691], [8.691, -8.691, 8.691], [8.691, 8.691, -8.691]],
  "species": ["Tl", "Tl", "Tl", "Tl", "Tl", "Tl", "Tl", "Tl", "Tl", "Tl", "Tl", "Tl", "Sn", "Sn", "Sn", "Sn", "Sn", "Sn", "Sn", "Sn", "Sn", "Sn", "Sn", "Sn", "Sn", "Sn", "Sn", "Sn", "Sn", "Sn", "Sn", "Sn", "Hg", "Hg", "Hg", "Hg", "Hg", "Hg", "Hg", "Hg", "Hg", "Hg", "Hg", "Hg", "Hg", "Hg", "Hg", "Hg", "Hg", "Hg", "Hg", "Hg", "Hg", "Hg", "Hg", "Hg", "Hg", "Hg", "Hg", "Hg", "Hg", "Hg", "Hg", "Hg", "Hg", "Hg", "Hg", "Hg", "Hg", "Hg", "Hg", "Hg", "Hg", "Hg", "Hg", "Hg", "Hg", "Hg", "Hg", "Hg"],
  "frac_coords": [[0.125, 0.250, 0.375], [0.125, 0.375, 0.750], [0.250, 0.375, 0.125], [0.250, 0.875, 0.625], [0.375, 0.125, 0.250], [0.375, 0.750, 0.125], [0.625, 0.250, 0.875], [0.625, 0.875, 0.750], [0.750, 0.125, 0.375], [0.750, 0.625, 0.875], [0.875, 0.625, 0.250], [0.875, 0.750, 0.625], [0.000, 0.000, 0.000], [0.000, 0.000, 0.500], [0.000, 0.500, 0.000], [0.000, 0.500, 0.500], [0.125, 0.750, 0.875], [0.125, 0.875, 0.250], [0.250, 0.125, 0.875], [0.250, 0.625, 0.375], [0.375, 0.250, 0.625], [0.375, 0.625, 0.750], [0.500, 0.000, 0.000], [0.500, 0.000, 0.500], [0.500, 0.500, 0.000], [0.500, 0.500, 0.500], [0.625, 0.375, 0.250], [0.625, 0.750, 0.375], [0.750, 0.375, 0.625], [0.750, 0.875, 0.125], [0.875, 0.125, 0.750], [0.875, 0.250, 0.125], [0.058, 0.228, 0.133], [0.058, 0.330, 0.925], [0.075, 0.633, 0.405], [0.075, 0.942, 0.670], [0.095, 0.728, 0.670], [0.095, 0.867, 0.425], [0.133, 0.058, 0.228], [0.133, 0.575, 0.905], [0.170, 0.228, 0.595], [0.170, 0.442, 0.575], [0.228, 0.133, 0.058], [0.228, 0.595, 0.170], [0.272, 0.330, 0.905], [0.272, 0.442, 0.367], [0.330, 0.905, 0.272], [0.330, 0.925, 0.058], [0.367, 0.272, 0.442], [0.367, 0.595, 0.925], [0.405, 0.075, 0.633], [0.405, 0.830, 0.772], [0.425, 0.095, 0.867], [0.425, 0.830, 0.558], [0.442, 0.367, 0.272], [0.442, 0.575, 0.170], [0.558, 0.425, 0.830], [0.558, 0.633, 0.728], [0.575, 0.170, 0.442], [0.575, 0.905, 0.133], [0.595, 0.170, 0.228], [0.595, 0.925, 0.367], [0.633, 0.405, 0.075], [0.633, 0.728, 0.558], [0.670, 0.075, 0.942], [0.670, 0.095, 0.728], [0.728, 0.558, 0.633], [0.728, 0.670, 0.095], [0.772, 0.405, 0.830], [0.772, 0.867, 0.942], [0.830, 0.558, 0.425], [0.830, 0.772, 0.405], [0.867, 0.425, 0.095], [0.867, 0.942, 0.772], [0.905, 0.133, 0.575], [0.905, 0.272, 0.330], [0.925, 0.058, 0.330], [0.925, 0.367, 0.595], [0.942, 0.670, 0.075], [0.942, 0.772, 0.867]]
}

{
  "formula": "NaTlCu2Br8",
  "functional": "PBE",
  "state": "optimized geometry",
  "dft_energy_ev_per_atom": -2.54,
  "raw_formation_energy_ev_per_atom": -0.431,
  "space_group": "No. 119",
  "lattice_angstrom": [[-4.757, 4.757, 4.275], [4.757, -4.757, 4.275], [4.757, 4.757, -4.275]],
  "species": ["Na", "Tl", "Cu", "Cu", "Br", "Br", "Br", "Br", "Br", "Br", "Br", "Br"],
  "frac_coords": [[0.000, 0.000, 0.000], [0.250, 0.750, 0.500], [0.500, 0.500, 0.000], [0.750, 0.250, 0.500], [0.311, 0.126, 0.815], [0.311, 0.496, 0.185], [0.379, 0.061, 0.318], [0.504, 0.689, 0.815], [0.742, 0.061, 0.682], [0.874, 0.689, 0.185], [0.939, 0.258, 0.318], [0.939, 0.621, 0.682]]
}

Values for Fermi-level density of states, states/eV per cell, ordered as above
3.88; 21.86; 4.11; 5.39; 19.84; 6.18; 45.97; 12.38